TbCeSmHg | the Alexandria database | GGA-PBE | optimized geometry; space group = F-43m, No. 216; spin magnetization = 2.612 μB/cell; DFT formation energy = 1 kJ/mol of formula units; E_tot = -15.58 eV per cell; density of states at the Fermi level = 8.64 states/eV/cell
1.0
5.384 0.000 0.000
2.692 4.662 0.000
2.692 1.554 4.396
Ce Tb Hg Sm
1 1 1 1
Direct
0.250 0.250 0.250
0.000 0.000 0.000
0.750 0.750 0.750
0.500 0.500 0.500